Entry 1:
Compound: BeW2Se
Source: the Alexandria database
Functional: SCAN
Structure: PBEsol geometry

abc: 4.6014 4.6014 4.3958
angles: 104.83 104.83 38.28
Atoms (fractional coordinates):
Be: 0.0000 0.0000 0.0000
W: 0.5104 0.5104 0.4831
W: 0.7357 0.7357 0.1387
Se: 0.2609 0.2609 0.6858

Output
Distance to the lowest polymorph of the same formula: 0 meV/atom
ΔE_f (raw): 0.4780 eV per atom

=====

Entry 2:
Compound: Zr2Be2Os
Source: the Alexandria database
Functional: SCAN
Structure: PBEsol geometry

abc: 6.4513 6.4513 3.4742
angles: 90.00 90.00 90.00
Atoms (fractional coordinates):
Zr: 0.1807 0.3193 0.0000
Zr: 0.3193 0.8193 0.0000
Zr: 0.6807 0.1807 0.0000
Zr: 0.8193 0.6807 0.0000
Be: 0.1179 0.6179 0.5000
Be: 0.3821 0.1179 0.5000
Be: 0.6179 0.8821 0.5000
Be: 0.8821 0.3821 0.5000
Os: 0.0000 0.0000 0.5000
Os: 0.5000 0.5000 0.5000

Output
VASP energy: -28.792 eV per atom

=====

Entry 3:
Compound: Cs2SnPt
Source: the Alexandria database
Functional: SCAN
Structure: PBEsol geometry

abc: 5.7795 5.7795 5.7795
angles: 60.00 60.00 60.00
Atoms (fractional coordinates):
Cs: 0.2500 0.2500 0.2500
Cs: 0.7500 0.7500 0.7500
Sn: 0.0000 0.0000 0.0000
Pt: 0.5000 0.5000 0.5000

Output
VASP energy: -44.885 eV per atom

=====

Entry 4:
Compound: CsGaPd2Cl
Source: the Alexandria database
Functional: SCAN
Structure: PBEsol geometry

abc: 4.6434 4.6434 7.3079
angles: 90.00 90.00 90.00
Atoms (fractional coordinates):
Cs: 0.0000 0.0000 0.0000
Ga: 0.0000 0.0000 0.5000
Pd: 0.0000 0.5000 0.5000
Pd: 0.5000 0.0000 0.5000
Cl: 0.5000 0.5000 0.0000

Output
ΔE_f (raw): -0.2572 eV per atom

=====

Entry 5:
Compound: RbPRhO2
Source: the Alexandria database
Functional: SCAN
Structure: PBEsol geometry

abc: 4.1807 4.1807 4.4329
angles: 90.00 90.00 90.00
Atoms (fractional coordinates):
Rb: 0.0000 0.0000 0.0000
P: 0.5000 0.5000 0.0000
Rh: 0.5000 0.5000 0.5000
O: 0.0000 0.5000 0.5000
O: 0.5000 0.0000 0.5000

Output
ΔE_f (raw): -0.1626 eV per atom

=====

Entry 6:
Compound: FeCuC2
Source: the Alexandria database
Functional: SCAN
Structure: PBEsol geometry

abc: 3.5696 3.5696 3.5696
angles: 60.00 60.00 60.00
Atoms (fractional coordinates):
Fe: 0.0000 0.0000 0.0000
Cu: 0.5000 0.5000 0.5000
C: 0.2500 0.2500 0.2500
C: 0.7500 0.7500 0.7500

Output
VASP energy: -11.749 eV per atom

=====

Entry 7:
Compound: IrRu2Cl
Source: the Alexandria database
Functional: SCAN
Structure: PBEsol geometry

abc: 4.4929 4.4929 4.4929
angles: 126.99 126.99 78.27
Atoms (fractional coordinates):
Ir: 0.0000 0.0000 0.0000
Ru: 0.5000 0.5000 0.0000
Ru: 0.7500 0.2500 0.5000
Cl: 0.2500 0.7500 0.5000

Output
Distance to the lowest polymorph of the same formula: 658 meV/atom
ΔE_f (raw): 1.0556 eV per atom

=====

Entry 8:
Compound: Tc2AsBr
Source: the Alexandria database
Functional: SCAN
Structure: PBEsol geometry

abc: 2.9410 3.8319 6.3569
angles: 90.00 90.00 90.00
Atoms (fractional coordinates):
Tc: 0.0000 0.0000 0.0000
Tc: 0.5000 0.5000 0.1860
As: 0.0000 0.0000 0.3767
Br: 0.5000 0.5000 0.7998

Output
ΔE_f (raw): 0.2851 eV per atom

=====

Entry 9:
Compound: BeSbTe
Source: the Alexandria database
Functional: SCAN
Structure: PBEsol geometry

abc: 6.7081 6.2930 3.5547
angles: 80.69 67.78 31.53
Atoms (fractional coordinates):
Be: 0.0000 0.0000 0.0000
Sb: 0.6409 0.6409 0.3591
Te: 0.3744 0.3744 0.6256

Output
Distance to the lowest polymorph of the same formula: 0 meV/atom
ΔE_f (raw): 0.3629 eV per atom

=====

Entry 10:
Compound: Eu2MgSn
Source: the Alexandria database
Functional: SCAN
Structure: PBEsol geometry

abc: 5.4562 5.4562 5.4562
angles: 60.00 60.00 60.00
Atoms (fractional coordinates):
Eu: 0.2500 0.2500 0.2500
Eu: 0.7500 0.7500 0.7500
Mg: 0.0000 0.0000 0.0000
Sn: 0.5000 0.5000 0.5000

Output
VASP energy: -37.588 eV per atom

=====

Entry 11:
Compound: LiBiN3
Source: the Alexandria database
Functional: SCAN
Structure: PBEsol geometry

abc: 4.3633 4.3633 4.3633
angles: 90.00 90.00 90.00
Atoms (fractional coordinates):
Li: 0.0000 0.0000 0.0000
Bi: 0.5000 0.5000 0.5000
N: 0.0000 0.5000 0.5000
N: 0.5000 0.0000 0.5000
N: 0.5000 0.5000 0.0000

Output
ΔE_f (raw): 1.7524 eV per atom

=====

Entry 12:
Compound: NiAgPb3
Source: the Alexandria database
Functional: SCAN
Structure: PBEsol geometry

abc: 5.0351 5.0351 5.0351
angles: 90.00 90.00 90.00
Atoms (fractional coordinates):
Ni: 0.0000 0.0000 0.0000
Ag: 0.5000 0.5000 0.5000
Pb: 0.0000 0.0000 0.5000
Pb: 0.0000 0.5000 0.0000
Pb: 0.5000 0.0000 0.0000

Output
VASP energy: -54.687 eV per atom

=====

| no. | DOS(E_F) (states/eV/atom) |
| --- | --- |
| 1 | 0.616 |
| 2 | 0.809 |
| 3 | 1.049 |
| 4 | 0.418 |
| 5 | 0.935 |
| 6 | 0.313 |
| 7 | 0.827 |
| 8 | 0.567 |
| 9 | 0.506 |
| 10 | 3.208 |
| 11 | 0.523 |
| 12 | 0.595 |